The following is a DFT calculation (PBE with a Hubbard U) of a relaxed structure of ScMnSnF6.

Structure (POSCAR):
```
ScMnSnF6
1.0
5.587 0.000 0.000
-2.793 4.838 0.000
0.000 0.000 12.065
Sc F Sn Mn
2 12 2 2
Cartesian
2.793 1.613 3.016
0.000 3.226 9.049
3.563 0.069 4.116
-0.769 4.769 7.948
1.842 3.051 1.916
-0.952 1.788 7.948
-1.721 3.120 10.149
2.024 0.069 1.916
0.769 4.769 10.149
4.515 1.718 1.916
3.745 3.051 4.116
1.072 1.718 4.116
1.721 3.120 7.948
0.952 1.788 10.149
0.000 0.000 0.000
0.000 0.000 6.032
0.000 3.226 3.016
2.793 1.613 9.049
```

Calculated values
For the density of states at the Fermi level, the calculation gives 2.26 states/eV/f.u. As for the space group: P-31c, No. 163. For the uncorrected energy, the calculation gives -108.16 eV for the cell shown.